# 1
{
  "formula": "PrNpZn17",
  "functional": "GGA-PBE",
  "state": "relaxed",
  "formation_energy_ev_per_atom": -0.1547,
  "lattice_angstrom": [[6.7811, 0.0307, 0.8344], [0.7418, 6.7405, 0.8344], [0.0342, 0.0307, 6.8322]],
  "species": ["Pr", "Np", "Zn", "Zn", "Zn", "Zn", "Zn", "Zn", "Zn", "Zn", "Zn", "Zn", "Zn", "Zn", "Zn", "Zn", "Zn", "Zn", "Zn"],
  "fractional_positions": [[0.6640, 0.6640, 0.6640], [0.3349, 0.3349, 0.3349], [0.2938, 0.0014, 0.7045], [0.7045, 0.2938, 0.0014], [0.0014, 0.7045, 0.2938], [0.2938, 0.7045, 0.0014], [0.0014, 0.2938, 0.7045], [0.7045, 0.0014, 0.2938], [0.3499, 0.8436, 0.3499], [0.3499, 0.3499, 0.8436], [0.8436, 0.3499, 0.3499], [0.6447, 0.1649, 0.6447], [0.6447, 0.6447, 0.1649], [0.1649, 0.6447, 0.6447], [0.9998, 0.5004, 0.9998], [0.9998, 0.9998, 0.5004], [0.5004, 0.9998, 0.9998], [0.9027, 0.9027, 0.9027], [0.1014, 0.1014, 0.1014]]
}



# 2
{
  "formula": "Pm2SbAs",
  "functional": "GGA-PBE",
  "state": "relaxed",
  "de_polymorph_mev_per_atom": 357,
  "lattice_angstrom": [[-3.0340, 0.1645, -2.0363], [-1.0364, -3.2657, 1.2805], [-3.8155, 3.5524, 5.9719]],
  "species": ["Sb", "As", "Pm", "Pm"],
  "fractional_positions": [[0.5000, 0.5000, 0.5000], [0.5000, 0.5000, 0.0000], [0.0000, 0.0000, 0.7774], [0.0000, 0.0000, 0.2226]]
}



# 3
{
  "formula": "CrReTc2",
  "functional": "GGA-PBE",
  "state": "relaxed",
  "formation_energy_ev_per_atom": 0.1338,
  "lattice_angstrom": [[5.0664, -0.0012, 0.0026], [2.3255, 4.5011, -0.0026], [-3.2092, -3.0496, 2.4636]],
  "species": ["Cr", "Re", "Tc", "Tc"],
  "fractional_positions": [[0.7500, 0.2500, 0.5000], [0.2500, 0.7500, 0.5000], [0.9789, 0.9789, 0.0000], [0.5211, 0.5211, 0.0000]]
}



# 4
{
  "formula": "PuHf2Co9",
  "functional": "GGA-PBE",
  "state": "relaxed",
  "formation_energy_ev_per_atom": -0.2475,
  "lattice_angstrom": [[-1.9449, 4.1182, 1.7258], [-4.3444, 1.5026, -1.6091], [-5.6355, -2.2057, 5.7850]],
  "species": ["Pu", "Hf", "Hf", "Co", "Co", "Co", "Co", "Co", "Co", "Co", "Co", "Co"],
  "fractional_positions": [[0.0000, 0.0000, 0.0000], [0.8597, 0.8597, 0.4208], [0.1403, 0.1403, 0.5792], [0.6644, 0.6644, 0.0067], [0.3356, 0.3356, 0.9933], [0.5000, 0.5000, 0.5000], [0.4119, 0.4119, 0.2547], [0.9216, 0.4119, 0.2547], [0.4119, 0.9216, 0.2547], [0.5881, 0.5881, 0.7453], [0.5881, 0.0784, 0.7453], [0.0784, 0.5881, 0.7453]]
}



# 5
{
  "formula": "B5C",
  "functional": "GGA-PBE",
  "state": "relaxed",
  "de_polymorph_mev_per_atom": 221,
  "formation_energy_ev_per_atom": 0.4178,
  "lattice_angstrom": [[6.4190, 0.0988, -0.7611], [5.7874, 2.7783, -0.7611], [0.6542, 0.1542, 5.8883]],
  "species": ["B", "B", "B", "B", "B", "B", "B", "B", "B", "B", "C", "C"],
  "fractional_positions": [[0.0370, 0.0370, 0.1765], [0.8915, 0.8915, 0.2187], [0.3327, 0.3327, 0.0900], [0.2867, 0.2867, 0.3772], [0.9832, 0.9832, 0.4405], [0.8515, 0.8515, 0.5187], [0.6957, 0.6957, 0.3627], [0.5679, 0.5679, 0.4140], [0.3118, 0.3118, 0.6722], [0.6951, 0.6951, 0.9610], [0.2470, 0.2470, 0.8898], [0.5998, 0.5998, 0.1286]]
}



# 6
{
  "formula": "BaCaCd2Ir",
  "functional": "GGA-PBE",
  "state": "relaxed",
  "formation_energy_ev_per_atom": -0.1783,
  "lattice_angstrom": [[5.4073, 0.0000, 0.0000], [0.0000, 5.4073, 0.0000], [0.0000, 0.0000, 5.2779]],
  "species": ["Ca", "Ir", "Ba", "Cd", "Cd"],
  "fractional_positions": [[0.0000, 0.0000, 0.5000], [0.0000, 0.0000, 0.0000], [0.5000, 0.5000, 0.5000], [0.0000, 0.5000, 0.0000], [0.5000, 0.0000, 0.0000]]
}



# 7
{
  "formula": "Tb2Ga2Os",
  "functional": "GGA-PBE",
  "state": "relaxed",
  "formation_energy_ev_per_atom": -0.4907,
  "lattice_angstrom": [[4.0704, 0.0000, 0.9647], [2.0648, 5.4687, 0.3574], [-0.1447, -0.5280, 9.6801]],
  "species": ["Tb", "Tb", "Tb", "Tb", "Ga", "Ga", "Ga", "Ga", "Os", "Os"],
  "fractional_positions": [[0.6761, 0.3169, 0.3309], [0.9295, 0.2632, 0.8778], [0.3239, 0.6831, 0.6691], [0.0705, 0.7368, 0.1222], [0.0912, 0.2617, 0.5559], [0.6311, 0.8523, 0.8855], [0.9088, 0.7383, 0.4441], [0.3689, 0.1477, 0.1145], [0.6302, 0.0857, 0.6540], [0.3698, 0.9143, 0.3460]]
}



# 8
{
  "formula": "LiSbTe2Mo",
  "functional": "GGA-PBE",
  "state": "relaxed",
  "de_polymorph_mev_per_atom": 518,
  "lattice_angstrom": [[5.1454, 0.0000, 0.0000], [0.0000, 5.1454, 0.0000], [0.0000, 0.0000, 4.7575]],
  "species": ["Sb", "Mo", "Te", "Te", "Li"],
  "fractional_positions": [[0.0000, 0.0000, 0.5000], [0.5000, 0.5000, 0.5000], [0.0000, 0.5000, 0.0000], [0.5000, 0.0000, 0.0000], [0.0000, 0.0000, 0.0000]]
}



# 9
{
  "formula": "KNbPb2",
  "functional": "GGA-PBE",
  "state": "relaxed",
  "de_polymorph_mev_per_atom": 35,
  "formation_energy_ev_per_atom": 0.5989,
  "lattice_angstrom": [[6.6095, 0.0000, 0.0000], [0.0000, 6.6095, 0.0000], [3.3047, 3.3047, 8.5742]],
  "species": ["Pb", "Pb", "Pb", "Pb", "Nb", "Nb", "K", "K"],
  "fractional_positions": [[0.8172, 0.1250, 0.2500], [0.9328, 0.6250, 0.2500], [0.3750, 0.1828, 0.7500], [0.8750, 0.0672, 0.7500], [0.0000, 0.0000, 0.0000], [0.7500, 0.2500, 0.5000], [0.5000, 0.5000, 0.0000], [0.2500, 0.7500, 0.5000]]
}



# 10
{
  "formula": "CsTl2MoBr8",
  "functional": "GGA-PBE",
  "state": "relaxed",
  "total_energy_ev_per_atom": -3.2893,
  "lattice_angstrom": [[6.3969, -1.5355, 0.0012], [-1.7206, 7.7069, 0.0030], [-0.0080, 0.0045, 9.9205]],
  "species": ["Cs", "Tl", "Tl", "Mo", "Br", "Br", "Br", "Br", "Br", "Br", "Br", "Br"],
  "fractional_positions": [[0.0000, 0.0000, 0.5000], [0.5009, 0.4996, 0.7373], [0.4991, 0.5004, 0.2627], [0.0000, 0.0000, 0.0000], [0.0291, 0.7815, 0.1798], [0.5793, 0.8088, 0.9993], [0.9694, 0.2178, 0.1794], [0.9709, 0.2185, 0.8202], [0.4207, 0.1912, 0.0007], [0.0306, 0.7822, 0.8206], [0.3888, 0.6950, 0.5004], [0.6112, 0.3050, 0.4996]]
}



# 11
{
  "formula": "La2Nd2Sc",
  "functional": "GGA-PBE",
  "state": "relaxed",
  "de_polymorph_mev_per_atom": 0,
  "formation_energy_ev_per_atom": 0.1254,
  "lattice_angstrom": [[6.1550, 0.5925, -1.3265], [-2.0485, 5.7186, -1.7596], [0.0069, -0.6535, 9.4010]],
  "species": ["La", "La", "La", "La", "Nd", "Nd", "Nd", "Nd", "Sc", "Sc"],
  "fractional_positions": [[0.4577, 0.3646, 0.1500], [0.2146, 0.8077, 0.3500], [0.5423, 0.6354, 0.8500], [0.7854, 0.1923, 0.6500], [0.8934, 0.2389, 0.0224], [0.2165, 0.3710, 0.4776], [0.1066, 0.7611, 0.9776], [0.7835, 0.6290, 0.5224], [0.7155, 0.9655, 0.2500], [0.2845, 0.0345, 0.7500]]
}



# 12
{
  "formula": "BeIn3Ga",
  "functional": "GGA-PBE",
  "state": "relaxed",
  "de_polymorph_mev_per_atom": 0,
  "formation_energy_ev_per_atom": 0.3331,
  "lattice_angstrom": [[4.9533, 0.0000, 0.0000], [0.0000, 4.9533, 0.0000], [0.0000, 0.0000, 4.9533]],
  "species": ["Be", "Ga", "In", "In", "In"],
  "fractional_positions": [[0.0000, 0.0000, 0.0000], [0.5000, 0.5000, 0.5000], [0.0000, 0.5000, 0.0000], [0.0000, 0.0000, 0.5000], [0.5000, 0.0000, 0.0000]]
}